Here is a relaxed structure of Sc2PH from the Alexandria database. Energies are from GGA-PBE.

Values from the calculation:
VASP energy in eV per cell: -24.00
Total moment in μB/f.u.: 1.34
ρ in g cm⁻³: 3.4
Crystal system: cubic
ΔE to the lowest computed polymorph in meV per atom: 212

Cell and atoms, written as POSCAR:
```
Sc2PH
1.0
0.0000 3.1122 3.1122
3.1122 0.0000 3.1122
3.1122 3.1122 0.0000
Sc P H
2 1 1
Cartesian
1.5561 1.5561 1.5561 Sc
4.6683 4.6683 4.6683 Sc
0.0000 0.0000 0.0000 P
3.1122 3.1122 3.1122 H
```


Here is a relaxed structure of LiNb2Zn2 from the Alexandria database. Energies are from GGA-PBE.

Values from the calculation:
VASP energy in eV per cell: -46.66
Total moment in μB/f.u.: 0.00
DFT formation energy in eV/f.u.: 1.3
ρ in g cm⁻³: 6.3
Crystal system: tetragonal
ΔE to the lowest computed polymorph in meV per atom: 45

Cell and atoms, written as POSCAR:
```
LiNb2Zn2
1.0
7.3863 0.0000 0.0000
0.0000 7.3863 0.0000
0.0000 0.0000 3.1086
Li Nb Zn
2 4 4
Cartesian
0.0000 0.0000 0.0000 Li
3.6932 3.6932 0.0000 Li
1.2803 2.4128 1.5543 Nb
2.4128 6.1060 1.5543 Nb
4.9735 1.2803 1.5543 Nb
6.1060 4.9735 1.5543 Nb
0.9201 4.6132 0.0000 Zn
2.7731 0.9201 0.0000 Zn
4.6132 6.4663 0.0000 Zn
6.4663 2.7731 0.0000 Zn
```